Ga2CuPd: optimized geometry, PBE.

abc: 4.355 4.355 4.355
angles: 60.00 60.00 60.00
Sites, in units of the cell vectors:
Pd 0.500 0.500 0.500
Cu 0.000 0.000 0.000
Ga 0.750 0.750 0.750
Ga 0.250 0.250 0.250

## Properties
* offset from the most stable computed form: 15 meV/atom



GaCu2Pd6: optimized geometry, PBE.

abc: 4.086 5.600 6.467
angles: 83.38 71.58 68.60
Sites, in units of the cell vectors:
Pd 0.347 0.805 0.500
Pd 0.007 0.816 0.171
Pd 0.323 0.184 0.171
Ga 0.000 0.500 0.500
Cu 0.673 0.500 0.155
Pd 0.993 0.184 0.829
Pd 0.653 0.195 0.500
Pd 0.677 0.816 0.829
Cu 0.327 0.500 0.845

## Properties
* offset from the most stable computed form: 0 meV/atom



Ga2CuPd8: optimized geometry, PBE.

abc: 4.096 7.006 7.142
angles: 119.37 106.66 90.00
Sites, in units of the cell vectors:
Pd 0.659 0.881 0.317
Pd 0.341 0.119 0.683
Ga 0.806 0.306 0.611
Pd 0.000 0.306 0.000
Cu 0.500 0.000 0.000
Pd 0.341 0.563 0.683
Pd 0.659 0.437 0.317
Pd 0.000 0.694 0.000
Pd 0.855 0.855 0.710
Pd 0.145 0.145 0.290
Ga 0.194 0.694 0.389

## Properties
* offset from the most stable computed form: 8 meV/atom



GaCuPd3: optimized geometry, PBE.

abc: 4.171 4.183 8.543
angles: 90.00 75.81 90.00
Sites, in units of the cell vectors:
Cu 0.858 0.844 0.004
Ga 0.356 0.344 0.006
Pd 0.764 0.344 0.190
Pd 0.647 0.845 0.424
Pd 0.265 0.844 0.189
Ga 0.055 0.844 0.608
Pd 0.146 0.344 0.425
Cu 0.554 0.345 0.611
Pd 0.456 0.844 0.807
Pd 0.955 0.344 0.808

## Properties
* offset from the most stable computed form: 0 meV/atom



Ga2CuPd: optimized geometry, PBE.

abc: 2.911 2.911 8.330
angles: 79.94 79.94 60.00
Sites, in units of the cell vectors:
Cu 0.500 0.500 0.500
Ga 0.249 0.249 0.254
Pd 0.000 0.000 0.000
Ga 0.751 0.751 0.746

## Properties
* offset from the most stable computed form: 46 meV/atom



Ga3CuPd5: optimized geometry, PBE.

abc: 5.715 5.715 9.620
angles: 84.92 84.92 78.51
Sites, in units of the cell vectors:
Pd 0.993 0.402 0.343
Pd 0.598 0.007 0.657
Ga 0.729 0.729 0.872
Pd 0.681 0.319 0.000
Ga 0.676 0.676 0.474
Ga 0.000 0.000 0.000
Cu 0.972 0.972 0.257
Pd 0.402 0.993 0.343
Pd 0.520 0.520 0.707
Pd 0.319 0.681 0.000
Pd 0.007 0.598 0.657
Pd 0.480 0.480 0.293
Ga 0.271 0.271 0.128
Pd 0.742 0.742 0.128
Pd 0.258 0.258 0.872
Cu 0.028 0.028 0.743
Ga 0.000 0.000 0.500
Ga 0.324 0.324 0.526



Number 1: energy of formation from the pure elements -1.1 eV per formula unit, magnetic moment 0.00 μB/f.u.. Number 2: energy of formation from the pure elements -2.6 eV per formula unit, magnetic moment 0.00 μB/f.u.. Number 3: energy of formation from the pure elements -3.8 eV per formula unit, magnetic moment 0.00 μB/f.u.. Number 4: energy of formation from the pure elements -2.2 eV per formula unit, magnetic moment 0.00 μB/f.u.. Number 5: energy of formation from the pure elements -1.0 eV per formula unit, magnetic moment 0.00 μB/f.u.. Number 6: energy of formation from the pure elements -2.0 eV per formula unit, magnetic moment 0.00 μB/f.u..